{
  "formula": "SnTePtCl2",
  "functional": "GGA-PBE",
  "state": "relaxed",
  "magmom_total_mub_per_atom": 0.000,
  "e_form_raw_mev_per_atom": 207,
  "cell": [[-0.903, 4.294, -3.047], [-4.955, -0.203, 1.182], [0.875, 3.171, 4.210]],
  "species": ["Te", "Sn", "Pt", "Cl", "Cl"],
  "fractional_positions": [[0.000, 0.000, 0.000], [0.500, 0.500, 0.500], [0.000, 0.500, 0.000], [0.000, 0.000, 0.500], [0.500, 0.000, 0.000]]
}